[1]
DFT (SCAN) results for a PBEsol-optimized structure of Zn3NiTe.

Values from the calculation:
For the formation energy (no corrections), the calculation gives 140.6 kJ/mol of formula units. The value obtained for the volume is 94 Å³/cell. Its density of states at the Fermi level is 2.273 states/eV/cell. The total energy comes out at -92.5 eV for the cell shown.

a = 4.5482 Å, b = 4.5482 Å, c = 4.5482 Å
α = 90.00°, β = 90.00°, γ = 90.00°
Last column: nearest neighbours and their distance in Å.
Fractional coordinates of all 5 atoms:
Zn  0.0000  0.5000  0.0000  2 Ni 2.27
Zn  0.5000  0.0000  0.0000  2 Ni 2.27
Ni  0.0000  0.0000  0.0000  6 Zn 2.27
Te  0.5000  0.5000  0.5000  12 Zn 3.22
Zn  0.0000  0.0000  0.5000  2 Ni 2.27

=====

[2]
DFT (SCAN) results for a PBEsol-optimized structure of ZnCrO4.

Values from the calculation:
For the formation energy (no corrections), the calculation gives -1026.7 kJ/mol of formula units. The value obtained for the volume is 294 Å³/cell. For the energy above the most stable polymorph in this dataset, the calculation gives 2.0 kJ/mol of atoms. Its density of states at the Fermi level is 0.000 states/eV/cell. The total energy comes out at -269.9 eV for the cell shown.

a = 6.7260 Å, b = 6.7260 Å, c = 6.7252 Å
α = 79.60°, β = 79.60°, γ = 85.18°
Last column: nearest neighbours and their distance in Å.
Fractional coordinates of all 24 atoms:
O  0.5141  0.2161  0.5184  1 Cr 1.62
Zn  0.1811  0.8189  0.5000  6 O 2.03-2.14
O  0.8903  0.1989  0.1850  1 Cr 1.69
O  0.8011  0.1097  0.8150  1 Cr 1.69
O  0.7839  0.4859  0.4816  1 Cr 1.62
Cr  0.7236  0.7236  0.4123  4 O 1.62-1.74
O  0.1097  0.8011  0.8150  1 Cr 1.69
O  0.5128  0.2190  0.1071  1 Cr 1.62
O  0.2190  0.5128  0.1071  1 Cr 1.62
O  0.1424  0.1424  0.4625  1 Cr 1.74
Zn  0.2060  0.2060  0.1357  6 O 2.01-2.13
O  0.4872  0.7810  0.8929  1 Cr 1.62
O  0.7855  0.7855  0.1654  1 Cr 1.62
Cr  0.2545  0.7455  0.0000  4 O 1.62-1.69
O  0.2145  0.2145  0.8346  1 Cr 1.62
Cr  0.2764  0.2764  0.5877  4 O 1.62-1.74
O  0.4859  0.7839  0.4816  1 Cr 1.62
O  0.7810  0.4872  0.8929  1 Cr 1.62
O  0.2161  0.5141  0.5184  1 Cr 1.62
O  0.8576  0.8576  0.5375  1 Cr 1.74
Cr  0.7455  0.2545  0.0000  4 O 1.62-1.69
O  0.1989  0.8903  0.1850  1 Cr 1.69
Zn  0.8189  0.1811  0.5000  6 O 2.03-2.14
Zn  0.7940  0.7940  0.8643  6 O 2.01-2.13

=====

[3]
DFT (SCAN) results for a PBEsol-optimized structure of IrPtIN2.

Values from the calculation:
For the formation energy (no corrections), the calculation gives 774.6 kJ/mol of formula units. The value obtained for the volume is 106 Å³/cell. Its density of states at the Fermi level is 4.336 states/eV/cell. The total energy comes out at -188.6 eV for the cell shown.

a = 3.7017 Å, b = 3.7017 Å, c = 7.7570 Å
α = 90.00°, β = 90.00°, γ = 90.00°
Last column: nearest neighbours and their distance in Å.
Fractional coordinates of all 5 atoms:
I  0.0000  0.0000  0.5000  4 Ir 2.62
N  0.0000  0.5000  0.0000  2 Pt 1.85
N  0.5000  0.0000  0.0000  2 Pt 1.85
Ir  0.5000  0.5000  0.5000  4 I 2.62
Pt  0.0000  0.0000  0.0000  4 N 1.85

=====

[4]
DFT (SCAN) results for a PBEsol-optimized structure of YZnNi2.

Values from the calculation:
The value obtained for the volume is 59 Å³/cell. As for the formation energy from the elements: -0.19 eV/atom. Its density of states at the Fermi level is 1.570 states/eV/cell. The total energy comes out at -74.5 eV for the cell shown.

a = 3.7871 Å, b = 3.7317 Å, c = 4.9607 Å
α = 112.09°, β = 112.44°, γ = 90.00°
Last column: nearest neighbours and their distance in Å.
Fractional coordinates of all 4 atoms:
Ni  0.7514  0.2512  0.5029  4 Zn 2.66, 4 Ni 2.80-2.83, 4 Y 2.81-2.82
Y  0.5002  0.5002  0.0003  8 Ni 2.66-2.82, 4 Zn 2.81-2.82
Ni  0.0001  0.0002  0.0002  4 Y 2.66, 4 Zn 2.79-2.83, 4 Ni 2.80-2.83
Zn  0.2483  0.7484  0.4966  8 Ni 2.66-2.83, 4 Y 2.81-2.82

=====

[5]
DFT (SCAN) results for a PBEsol-optimized structure of LaCd2Rh.

Values from the calculation:
The value obtained for the volume is 90 Å³/cell. As for the formation energy from the elements: -0.19 eV/atom. Its density of states at the Fermi level is 1.744 states/eV/cell. The total energy comes out at -138.4 eV for the cell shown.

a = 4.0205 Å, b = 4.0203 Å, c = 6.2541 Å
α = 108.22°, β = 108.22°, γ = 91.56°
Last column: nearest neighbours and their distance in Å.
Fractional coordinates of all 4 atoms:
Rh  0.5000  0.0000  0.0000  4 La 2.80-2.88
Cd  0.5000  0.5000  0.5000  4 Cd 2.80-2.88
Cd  0.0000  0.0000  0.5000  4 Cd 2.80-2.88
La  0.0000  0.5000  0.0000  4 Rh 2.80-2.88

=====

[6]
DFT (SCAN) results for a PBEsol-optimized structure of TaAg2Se.

Values from the calculation:
For the formation energy (no corrections), the calculation gives 172.9 kJ/mol of formula units. The value obtained for the volume is 70 Å³/cell. Its density of states at the Fermi level is 2.140 states/eV/cell. The total energy comes out at -147.6 eV for the cell shown.

a = 3.7410 Å, b = 3.7410 Å, c = 5.6364 Å
α = 109.38°, β = 109.38°, γ = 90.00°
Last column: nearest neighbours and their distance in Å.
Fractional coordinates of all 4 atoms:
Ag  0.2500  0.7500  0.5000  4 Ag 2.65
Ag  0.7500  0.2500  0.5000  4 Ag 2.65
Se  0.5000  0.5000  0.0000  4 Ta 2.65
Ta  0.0000  0.0000  0.0000  4 Se 2.65

=====

[7]
DFT (SCAN) results for a PBEsol-optimized structure of CrCoAs2Ir.

Values from the calculation:
The value obtained for the volume is 104 Å³/cell. As for the formation energy from the elements: 0.99 eV/atom. Its density of states at the Fermi level is 4.584 states/eV/cell. The total energy comes out at -142.2 eV for the cell shown.

a = 4.7882 Å, b = 4.6619 Å, c = 4.6619 Å
α = 90.00°, β = 90.00°, γ = 90.00°
Last column: nearest neighbours and their distance in Å.
Fractional coordinates of all 5 atoms:
Ir  0.0000  0.0000  0.0000  4 As 2.33, 2 Cr 2.39
As  0.0000  0.5000  0.0000  2 Ir 2.33
As  0.0000  0.0000  0.5000  2 Ir 2.33
Co  0.5000  0.5000  0.5000  4 Cr 3.30, 8 As 3.34
Cr  0.5000  0.0000  0.0000  2 Ir 2.39

=====

[8]
DFT (SCAN) results for a PBEsol-optimized structure of InBIN2.

Values from the calculation:
For the formation energy (no corrections), the calculation gives 925.7 kJ/mol of formula units. The value obtained for the volume is 71 Å³/cell. For the energy above the most stable polymorph in this dataset, the calculation gives 0.0 kJ/mol of atoms. Its density of states at the Fermi level is 2.631 states/eV/cell. The total energy comes out at -86.5 eV for the cell shown.

a = 3.7754 Å, b = 3.7754 Å, c = 5.0018 Å
α = 90.00°, β = 90.00°, γ = 90.00°
Last column: nearest neighbours and their distance in Å.
Fractional coordinates of all 5 atoms:
In  0.5000  0.5000  0.5000  4 I 2.67
N  0.5000  0.0000  0.0000  2 B 1.89
N  0.0000  0.5000  0.0000  2 B 1.89
B  0.0000  0.0000  0.0000  4 N 1.89
I  0.0000  0.0000  0.5000  2 B 2.50, 4 In 2.67

=====

[9]
DFT (SCAN) results for a PBEsol-optimized structure of B2RuW2.

Values from the calculation:
The value obtained for the volume is 111 Å³/cell. As for the formation energy from the elements: -0.19 eV/atom. Its density of states at the Fermi level is 6.576 states/eV/cell. The total energy comes out at -380.1 eV for the cell shown.

a = 3.5977 Å, b = 5.5456 Å, c = 5.5456 Å
α = 90.00°, β = 90.00°, γ = 90.00°
Last column: nearest neighbours and their distance in Å.
Fractional coordinates of all 10 atoms:
W  0.5000  0.6714  0.8286  6 B 2.43-2.45, 1 W 2.69
B  0.0000  0.8828  0.6172  1 B 1.84
Ru  0.0000  0.0000  0.0000  4 B 2.22
B  0.0000  0.6172  0.1172  1 B 1.84
B  0.0000  0.3828  0.8828  1 B 1.84
Ru  0.0000  0.5000  0.5000  4 B 2.22
W  0.5000  0.3286  0.1714  6 B 2.43-2.45, 1 W 2.69
W  0.5000  0.8286  0.3286  6 B 2.43-2.45, 1 W 2.69
B  0.0000  0.1172  0.3828  1 B 1.84
W  0.5000  0.1714  0.6714  6 B 2.43-2.45, 1 W 2.69

=====

[10]
DFT (SCAN) results for a PBEsol-optimized structure of CaBeCr2.

Values from the calculation:
The value obtained for the volume is 54 Å³/cell. As for the formation energy from the elements: 1.06 eV/atom. Its density of states at the Fermi level is 3.682 states/eV/cell. The total energy comes out at -46.6 eV for the cell shown.

a = 2.4439 Å, b = 4.9221 Å, c = 5.2311 Å
α = 115.86°, β = 99.46°, γ = 98.46°
Last column: nearest neighbours and their distance in Å.
Fractional coordinates of all 4 atoms:
Cr  0.5000  0.5000  0.5000  4 Cr 2.44-2.58, 2 Be 2.70, 2 Ca 2.70
Ca  0.0000  0.5000  0.0000  2 Ca 2.44, 2 Be 2.58, 4 Cr 2.70
Be  0.5000  0.0000  0.0000  2 Be 2.44, 2 Ca 2.58, 4 Cr 2.70
Cr  0.0000  0.0000  0.5000  4 Cr 2.44-2.58, 2 Ca 2.70, 2 Be 2.70

=====

[11]
DFT (SCAN) results for a PBEsol-optimized structure of BaLi2Sb2.

Values from the calculation:
For the formation energy (no corrections), the calculation gives -423.4 kJ/mol of formula units. The value obtained for the volume is 131 Å³/cell. Its density of states at the Fermi level is 0.236 states/eV/cell. The total energy comes out at -123.2 eV for the cell shown.

a = 4.7608 Å, b = 4.7608 Å, c = 6.6982 Å
α = 110.82°, β = 110.82°, γ = 90.00°
Last column: nearest neighbours and their distance in Å.
Fractional coordinates of all 5 atoms:
Li  0.7500  0.2500  0.5000  4 Sb 2.79
Li  0.2500  0.7500  0.5000  4 Sb 2.79
Sb  0.3758  0.3758  0.7516  4 Li 2.79, 1 Sb 2.88
Sb  0.6242  0.6242  0.2484  4 Li 2.79, 1 Sb 2.88
Ba  0.0000  0.0000  0.0000  8 Sb 3.66, 8 Li 3.75

=====

[12]
DFT (SCAN) results for a PBEsol-optimized structure of NiAgTe.

Values from the calculation:
For the formation energy (no corrections), the calculation gives 45.9 kJ/mol of formula units. The value obtained for the volume is 56 Å³/cell. For the energy above the most stable polymorph in this dataset, the calculation gives 19.2 kJ/mol of atoms. Its density of states at the Fermi level is 1.565 states/eV/cell. The total energy comes out at -84.3 eV for the cell shown.

a = 3.7013 Å, b = 4.1822 Å, c = 4.1822 Å
α = 120.00°, β = 90.00°, γ = 90.00°
Last column: nearest neighbours and their distance in Å.
Fractional coordinates of all 3 atoms:
Te  0.5000  0.6667  0.3333  3 Ni 2.41
Ni  0.5000  0.3333  0.6667  3 Te 2.41
Ag  0.0000  0.0000  0.0000  6 Ni 3.04, 6 Te 3.04